(1)
# Mn2TlCr

Crystalline Mn2TlCr at its relaxed geometry (PBE, Alexandria).

The calculation puts the excess energy over the best structure of this formula in the dataset at 0 meV/atom. The energy of formation from the pure elements is 0.36 eV per atom.

```
data_Mn2TlCr
_space_group_name_H-M_alt 'P 1'
_space_group_IT_number 1
_space_group_name_Hall 'P 1'
_cell_length_a 3.082
_cell_length_b 3.082
_cell_length_c 6.697
_cell_angle_alpha 90.00
_cell_angle_beta 90.00
_cell_angle_gamma 90.00
loop_
_atom_site_label
_atom_site_fract_x
_atom_site_fract_y
_atom_site_fract_z
Mn1 0.000 0.000 0.202
Mn2 0.000 0.000 0.798
Tl1 0.500 0.500 0.500
Cr1 0.500 0.500 0.000
```

(2)
# BaCaNdSbO6

Crystalline BaCaNdSbO6 at its relaxed geometry (PBE, Alexandria).

The formation energy from raw total energies is -59.2 kcal/mol of atoms. The calculation puts the excess energy over the best structure of this formula in the dataset at 0 meV/atom.

```
data_BaCaNdSbO6
_space_group_name_H-M_alt 'P 1'
_space_group_IT_number 1
_space_group_name_Hall 'P 1'
_cell_length_a 5.982
_cell_length_b 5.990
_cell_length_c 8.561
_cell_angle_alpha 90.12
_cell_angle_beta 90.09
_cell_angle_gamma 90.24
loop_
_atom_site_label
_atom_site_fract_x
_atom_site_fract_y
_atom_site_fract_z
Ba1 0.012 0.019 0.250
Ba2 0.988 0.981 0.750
Ca1 0.489 0.479 0.748
Ca2 0.511 0.521 0.252
Nd1 0.000 0.500 0.500
Nd2 0.500 0.000 0.000
Sb1 0.000 0.500 0.000
Sb2 0.500 0.000 0.500
O1 0.087 0.473 0.770
O2 0.184 0.778 0.011
O3 0.222 0.815 0.497
O4 0.280 0.322 0.059
O5 0.324 0.282 0.443
O6 0.459 0.076 0.730
O7 0.541 0.924 0.270
O8 0.676 0.718 0.557
O9 0.720 0.678 0.941
O10 0.778 0.185 0.503
O11 0.816 0.222 0.989
O12 0.913 0.527 0.230
```

(3)
# TaCrP3

Crystalline TaCrP3 at its relaxed geometry (PBE, Alexandria).

The calculation puts the excess energy over the best structure of this formula in the dataset at 0 meV/atom. The energy of formation from the pure elements is 0.78 eV per atom.

```
data_TaCrP3
_space_group_name_H-M_alt 'P 1'
_space_group_IT_number 1
_space_group_name_Hall 'P 1'
_cell_length_a 4.407
_cell_length_b 4.407
_cell_length_c 4.407
_cell_angle_alpha 90.00
_cell_angle_beta 90.00
_cell_angle_gamma 90.00
loop_
_atom_site_label
_atom_site_fract_x
_atom_site_fract_y
_atom_site_fract_z
Ta1 0.000 0.000 0.000
Cr1 0.500 0.500 0.500
P1 0.000 0.500 0.500
P2 0.500 0.000 0.500
P3 0.500 0.500 0.000
```

(4)
# Er2Ga4Ir3Ru

Crystalline Er2Ga4Ir3Ru at its relaxed geometry (PBE, Alexandria).

The energy of formation from the pure elements is -0.63 eV per atom.

```
data_Er2Ga4Ir3Ru
_space_group_name_H-M_alt 'P 1'
_space_group_IT_number 1
_space_group_name_Hall 'P 1'
_cell_length_a 4.299
_cell_length_b 4.299
_cell_length_c 9.917
_cell_angle_alpha 90.00
_cell_angle_beta 90.00
_cell_angle_gamma 90.00
loop_
_atom_site_label
_atom_site_fract_x
_atom_site_fract_y
_atom_site_fract_z
Er1 0.000 0.500 0.224
Er2 0.500 0.000 0.776
Ga1 0.000 0.000 0.500
Ga2 0.000 0.500 0.875
Ga3 0.500 0.000 0.125
Ga4 0.500 0.500 0.500
Ir1 0.000 0.000 0.000
Ir2 0.000 0.500 0.630
Ir3 0.500 0.000 0.370
Ru1 0.500 0.500 0.000
```

(5)
# TcAg2Br

Crystalline TcAg2Br at its relaxed geometry (PBE, Alexandria).

The formation energy from raw total energies is 19.4 kcal/mol of atoms. The calculation puts the excess energy over the best structure of this formula in the dataset at 429 meV/atom.

```
data_TcAg2Br
_space_group_name_H-M_alt 'P 1'
_space_group_IT_number 1
_space_group_name_Hall 'P 1'
_cell_length_a 5.841
_cell_length_b 5.841
_cell_length_c 5.841
_cell_angle_alpha 140.86
_cell_angle_beta 140.86
_cell_angle_gamma 56.55
loop_
_atom_site_label
_atom_site_fract_x
_atom_site_fract_y
_atom_site_fract_z
Tc1 0.000 0.000 0.000
Ag1 0.250 0.750 0.500
Ag2 0.750 0.250 0.500
Br1 0.500 0.500 0.000
```

(6)
# ZrAl2Pb

Crystalline ZrAl2Pb at its relaxed geometry (PBE, Alexandria).

The energy of formation from the pure elements is -0.13 eV per atom.

```
data_ZrAl2Pb
_space_group_name_H-M_alt 'P 1'
_space_group_IT_number 1
_space_group_name_Hall 'P 1'
_cell_length_a 5.525
_cell_length_b 5.525
_cell_length_c 5.525
_cell_angle_alpha 135.47
_cell_angle_beta 135.47
_cell_angle_gamma 64.79
loop_
_atom_site_label
_atom_site_fract_x
_atom_site_fract_y
_atom_site_fract_z
Zr1 0.000 0.000 0.000
Al1 0.250 0.750 0.500
Al2 0.750 0.250 0.500
Pb1 0.500 0.500 0.000
```

(7)
# CaMg2GaIr

Crystalline CaMg2GaIr at its relaxed geometry (PBE, Alexandria).

The calculation puts the excess energy over the best structure of this formula in the dataset at 910 meV/atom. The energy of formation from the pure elements is 0.62 eV per atom.

```
data_CaMg2GaIr
_space_group_name_H-M_alt 'P 1'
_space_group_IT_number 1
_space_group_name_Hall 'P 1'
_cell_length_a 4.847
_cell_length_b 4.847
_cell_length_c 5.398
_cell_angle_alpha 90.00
_cell_angle_beta 90.00
_cell_angle_gamma 90.00
loop_
_atom_site_label
_atom_site_fract_x
_atom_site_fract_y
_atom_site_fract_z
Ca1 0.000 0.000 0.000
Mg1 0.000 0.500 0.500
Mg2 0.500 0.000 0.500
Ga1 0.000 0.000 0.500
Ir1 0.500 0.500 0.000
```

(8)
# Na2Pm2Br7

Crystalline Na2Pm2Br7 at its relaxed geometry (PBE, Alexandria).

The formation energy from raw total energies is -37.2 kcal/mol of atoms. The calculation puts the excess energy over the best structure of this formula in the dataset at 0 meV/atom.

```
data_Na2Pm2Br7
_space_group_name_H-M_alt 'P 1'
_space_group_IT_number 1
_space_group_name_Hall 'P 1'
_cell_length_a 7.875
_cell_length_b 7.875
_cell_length_c 7.774
_cell_angle_alpha 93.95
_cell_angle_beta 93.95
_cell_angle_gamma 111.75
loop_
_atom_site_label
_atom_site_fract_x
_atom_site_fract_y
_atom_site_fract_z
Na1 0.201 0.799 0.000
Na2 0.799 0.201 0.000
Pm1 0.199 0.199 0.607
Pm2 0.801 0.801 0.393
Br1 0.058 0.440 0.773
Br2 0.093 0.093 0.238
Br3 0.440 0.058 0.773
Br4 0.500 0.500 0.500
Br5 0.560 0.942 0.227
Br6 0.907 0.907 0.762
Br7 0.942 0.560 0.227
```

(9)
# Ga2Cu2Pt3

Crystalline Ga2Cu2Pt3 at its relaxed geometry (PBE, Alexandria).

The energy of formation from the pure elements is -0.36 eV per atom.

```
data_Ga2Cu2Pt3
_space_group_name_H-M_alt 'P 1'
_space_group_IT_number 1
_space_group_name_Hall 'P 1'
_cell_length_a 4.308
_cell_length_b 4.308
_cell_length_c 7.141
_cell_angle_alpha 107.51
_cell_angle_beta 107.51
_cell_angle_gamma 60.02
loop_
_atom_site_label
_atom_site_fract_x
_atom_site_fract_y
_atom_site_fract_z
Ga1 0.100 0.100 0.299
Ga2 0.900 0.900 0.701
Cu1 0.367 0.367 0.100
Cu2 0.633 0.633 0.900
Pt1 0.239 0.239 0.718
Pt2 0.500 0.500 0.500
Pt3 0.761 0.761 0.282
```

(10)
# Ni7Bi2Sb2Pt

Crystalline Ni7Bi2Sb2Pt at its relaxed geometry (PBE, Alexandria).

The formation energy from raw total energies is -0.6 kcal/mol of atoms.

```
data_Ni7Bi2Sb2Pt
_space_group_name_H-M_alt 'P 1'
_space_group_IT_number 1
_space_group_name_Hall 'P 1'
_cell_length_a 15.504
_cell_length_b 15.504
_cell_length_c 15.504
_cell_angle_alpha 166.22
_cell_angle_beta 166.22
_cell_angle_gamma 19.54
loop_
_atom_site_label
_atom_site_fract_x
_atom_site_fract_y
_atom_site_fract_z
Ni1 0.000 0.000 0.000
Ni2 0.059 0.559 0.500
Ni3 0.196 0.196 0.000
Ni4 0.441 0.941 0.500
Ni5 0.559 0.059 0.500
Ni6 0.804 0.804 0.000
Ni7 0.941 0.441 0.500
Bi1 0.288 0.288 0.000
Bi2 0.712 0.712 0.000
Sb1 0.115 0.115 0.000
Sb2 0.885 0.885 0.000
Pt1 0.500 0.500 0.000
```

(11)
# CeTmTc

Crystalline CeTmTc at its relaxed geometry (PBE, Alexandria).

The calculation puts the excess energy over the best structure of this formula in the dataset at 38 meV/atom. The energy of formation from the pure elements is -0.05 eV per atom.

```
data_CeTmTc
_space_group_name_H-M_alt 'P 1'
_space_group_IT_number 1
_space_group_name_Hall 'P 1'
_cell_length_a 5.917
_cell_length_b 5.917
_cell_length_c 6.898
_cell_angle_alpha 124.57
_cell_angle_beta 124.57
_cell_angle_gamma 48.65
loop_
_atom_site_label
_atom_site_fract_x
_atom_site_fract_y
_atom_site_fract_z
Ce1 0.089 0.089 0.321
Ce2 0.911 0.911 0.679
Tm1 0.320 0.320 0.934
Tm2 0.680 0.680 0.066
Tc1 0.353 0.353 0.390
Tc2 0.647 0.647 0.610
```

(12)
# BaTlAs2

Crystalline BaTlAs2 at its relaxed geometry (PBE, Alexandria).

The calculation puts the excess energy over the best structure of this formula in the dataset at 11 meV/atom. The energy of formation from the pure elements is -0.49 eV per atom.

```
data_BaTlAs2
_space_group_name_H-M_alt 'P 1'
_space_group_IT_number 1
_space_group_name_Hall 'P 1'
_cell_length_a 4.630
_cell_length_b 4.765
_cell_length_c 5.836
_cell_angle_alpha 90.00
_cell_angle_beta 101.81
_cell_angle_gamma 90.00
loop_
_atom_site_label
_atom_site_fract_x
_atom_site_fract_y
_atom_site_fract_z
Ba1 0.000 0.000 0.000
Tl1 0.812 0.500 0.434
As1 0.383 0.000 0.584
As2 0.444 0.500 0.797
```

Total magnetic moment
In order: 4.22, 0.00, 2.97, 0.00, 2.89, 0.00, 0.77, 0.97, 0.00, 0.02, 0.00, 0.00
Unit: μB per cell